(P)
Below is a relaxed KSr2Sc crystal, with properties calculated at the PBE level.

abc: 9.8370 9.8370 7.9780
angles: 51.94 51.94 90.00
Last column: magnetic moment on the atom in μB.
Element x y z (fractional)
Sr 0.3750 0.3644 0.7500  0.06
Sr 0.8750 0.8856 0.7500  0.05
Sr 0.6356 0.1250 0.2500  0.06
Sr 0.1144 0.6250 0.2500  0.05
K 0.2500 0.7500 0.5000  0.02
K 0.5000 0.5000 0.0000  0.02
Sc 0.7500 0.2500 0.5000  0.51
Sc 0.0000 0.0000 0.0000  0.51

Calculated volume ... 378.08 Å³/cell

---

(Q)
Below is a relaxed KSr2Sc crystal, with properties calculated at the PBE level.

abc: 7.2077 7.2077 7.2077
angles: 134.84 134.84 65.78
Last column: magnetic moment on the atom in μB.
Element x y z (fractional)
K 0.5000 0.5000 0.0000  0.00
Sr 0.2500 0.7500 0.5000  0.01
Sr 0.0000 0.0000 0.0000  0.02
Sc 0.7500 0.2500 0.5000  0.33

Calculated volume ... 185.44 Å³/cell

---

(R)
Below is a relaxed KSr2Sc crystal, with properties calculated at the PBE level.

abc: 3.9695 5.7596 8.2406
angles: 90.00 90.00 90.00
Last column: magnetic moment on the atom in μB.
Element x y z (fractional)
K 0.0000 0.0000 0.5134  0.00
Sr 0.0000 0.0000 0.9708  0.04
Sr 0.5000 0.5000 0.2355  0.00
Sc 0.5000 0.5000 0.7802  0.50

Calculated volume ... 188.41 Å³/cell

---

(S)
Below is a relaxed KSr2Sc crystal, with properties calculated at the PBE level.

abc: 13.6012 13.6012 13.6012
angles: 16.95 16.95 16.95
Last column: magnetic moment on the atom in μB.
Element x y z (fractional)
Sr 0.0131 0.0131 0.0131  0.04
Sr 0.4869 0.4869 0.4869  0.04
K 0.2500 0.2500 0.2500  0.00
Sc 0.7500 0.7500 0.7500  0.45

Calculated volume ... 186.47 Å³/cell

---

Which structure is the least stable? The one labeled (P).

---

(P)
Below is a relaxed KSrSc2 crystal, with properties calculated at the PBE level.

abc: 3.5152 3.5152 12.1283
angles: 90.00 90.00 90.00
Last column: magnetic moment on the atom in μB.
Element x y z (fractional)
Sc 0.0000 0.0000 0.4794  0.51
Sc 0.0000 0.0000 0.0206  0.51
Sr 0.5000 0.5000 0.2500  0.07
K 0.5000 0.5000 0.7500  0.01

Calculated volume ... 149.86 Å³/cell

---

(Q)
Below is a relaxed KSrSc2 crystal, with properties calculated at the PBE level.

abc: 5.9219 5.9219 5.9219
angles: 60.00 60.00 60.00
Element x y z (fractional)
Sc 0.2500 0.2500 0.2500
Sc 0.7500 0.7500 0.7500
Sr 0.5000 0.5000 0.5000
K 0.0000 0.0000 0.0000

Calculated volume ... 146.85 Å³/cell

---

Which structure is the least stable? The one labeled (Q).

---

(P)
Below is a relaxed KSrSc2 crystal, with properties calculated at the PBE level.

abc: 13.4402 13.4402 13.4402
angles: 15.16 15.16 15.16
Last column: magnetic moment on the atom in μB.
Element x y z (fractional)
Sc 0.9106 0.9106 0.9106  0.48
Sc 0.0894 0.0894 0.0894  0.48
K 0.0000 0.0000 0.0000  0.02
Sr 0.5000 0.5000 0.5000  0.06

Calculated volume ... 144.69 Å³/cell

---

(Q)
Below is a relaxed KSrSc2 crystal, with properties calculated at the PBE level.

abc: 3.4896 3.4896 12.8321
angles: 90.00 90.00 112.94
Last column: magnetic moment on the atom in μB.
Element x y z (fractional)
Sc 0.0000 0.0000 0.0153  0.15
Sc 0.0000 0.0000 0.4847  0.15
K 0.5000 0.5000 0.7500  0.01
Sr 0.5000 0.5000 0.2500  0.00

Calculated volume ... 143.90 Å³/cell

---

Which structure is the least stable? The one labeled (P).

---

(P)
Below is a relaxed KSrSc2 crystal, with properties calculated at the PBE level.

abc: 5.8886 5.8886 5.8886
angles: 119.90 119.90 90.17
Last column: magnetic moment on the atom in μB.
Element x y z (fractional)
Sc 0.0000 0.0000 0.0000  0.20
Sc 0.2500 0.7500 0.5000  0.18
K 0.7500 0.2500 0.5000  0.00
Sr 0.5000 0.5000 0.0000  0.01

Calculated volume ... 144.60 Å³/cell

---

(Q)
Below is a relaxed KSrSc2 crystal, with properties calculated at the PBE level.

abc: 6.6013 6.6013 6.9852
angles: 84.41 84.41 30.97
Last column: magnetic moment on the atom in μB.
Element x y z (fractional)
Sc 0.4978 0.4978 0.5594  0.50
Sc 0.0022 0.0022 0.9406  0.50
K 0.2500 0.2500 0.2500  0.01
Sr 0.7500 0.7500 0.7500  0.04

Calculated volume ... 155.84 Å³/cell

---

Which structure is the least stable? The one labeled (P).

---

(P)
Below is a relaxed KSrSc2 crystal, with properties calculated at the PBE level.

abc: 6.8785 6.8785 3.5351
angles: 90.00 90.00 117.99
Last column: magnetic moment on the atom in μB.
Element x y z (fractional)
K 0.0000 0.5000 0.5000  0.01
Sr 0.5000 0.0000 0.5000  0.04
Sc 0.5000 0.5000 0.0000  0.48
Sc 0.0000 0.0000 0.0000  0.48

Calculated volume ... 147.69 Å³/cell

---

(Q)
Below is a relaxed KSrSc2 crystal, with properties calculated at the PBE level.

abc: 6.2307 6.2307 7.1837
angles: 82.10 82.10 33.02
Last column: magnetic moment on the atom in μB.
Element x y z (fractional)
Sc 0.9814 0.9814 0.0449  0.49
Sc 0.2668 0.2668 0.2189  0.44
Sr 0.5088 0.5088 0.4748  0.03
K 0.7431 0.7431 0.7614  0.01

Calculated volume ... 150.42 Å³/cell

---

(R)
Below is a relaxed KSrSc2 crystal, with properties calculated at the PBE level.

abc: 6.8747 6.8747 6.8747
angles: 137.37 137.37 61.87
Last column: magnetic moment on the atom in μB.
Element x y z (fractional)
K 0.7500 0.2500 0.5000  0.01
Sc 0.5000 0.5000 0.0000  0.47
Sc 0.0000 0.0000 0.0000  0.47
Sr 0.2500 0.7500 0.5000  0.05

Calculated volume ... 147.30 Å³/cell

---

(S)
Below is a relaxed KSrSc2 crystal, with properties calculated at the PBE level.

abc: 6.1940 3.5019 7.3056
angles: 78.70 90.00 90.00
Last column: magnetic moment on the atom in μB.
Element x y z (fractional)
K 0.5000 0.7500 0.7500  0.00
Sc 0.0000 0.4602 0.4375  0.28
Sc 0.0000 0.0398 0.0625  0.28
Sr 0.5000 0.2500 0.2500  -0.01

Calculated volume ... 155.39 Å³/cell

---

Which structure is the least stable? The one labeled (R).

---

(P)
Below is a relaxed KSrSc2 crystal, with properties calculated at the PBE level.

abc: 5.9008 4.9960 4.9960
angles: 90.00 90.00 90.00
Last column: magnetic moment on the atom in μB.
Element x y z (fractional)
Sr 0.5000 0.5000 0.0000  0.04
K 0.5000 0.0000 0.5000  0.01
Sc 0.0000 0.5000 0.5000  0.45
Sc 0.0000 0.0000 0.0000  0.45

Calculated volume ... 147.28 Å³/cell

---

(Q)
Below is a relaxed KSrSc2 crystal, with properties calculated at the PBE level.

abc: 3.7258 3.7252 11.6900
angles: 71.47 90.00 90.00
Last column: magnetic moment on the atom in μB.
Element x y z (fractional)
Sr 0.0000 0.5565 0.4447  -0.01
Sc 0.5000 0.2855 0.2145  0.12
Sc 0.0000 0.9414 0.0580  0.17
K 0.5000 0.7167 0.7828  0.00

Calculated volume ... 153.84 Å³/cell

---

(R)
Below is a relaxed KSrSc2 crystal, with properties calculated at the PBE level.

abc: 13.1512 13.1512 13.1512
angles: 15.71 15.71 15.71
Last column: magnetic moment on the atom in μB.
Element x y z (fractional)
Sc 0.9948 0.9948 0.9948  0.46
Sc 0.5052 0.5052 0.5052  0.46
Sr 0.2500 0.2500 0.2500  0.09
K 0.7500 0.7500 0.7500  0.02

Calculated volume ... 145.39 Å³/cell

---

Which structure is the least stable? The one labeled (P).

---

(P)
Below is a relaxed KSrSc2 crystal, with properties calculated at the PBE level.

abc: 7.2251 7.2251 7.2251
angles: 149.76 131.42 58.30
Element x y z (fractional)
K 0.2500 0.7500 0.5000
Sr 0.7500 0.2500 0.5000
Sc 0.5016 0.5016 0.0000
Sc 0.9984 0.9984 0.0000

Calculated volume ... 141.37 Å³/cell

---

(Q)
Below is a relaxed KSrSc2 crystal, with properties calculated at the PBE level.

abc: 7.3288 7.3288 7.3288
angles: 150.73 127.91 60.87
Element x y z (fractional)
K 0.2341 0.7341 0.5000
Sr 0.5109 0.5109 0.0000
Sc 0.9725 0.9725 0.0000
Sc 0.7824 0.2824 0.5000

Calculated volume ... 150.62 Å³/cell

---

Which structure is the least stable? The one labeled (P).

---

(P)
Below is a relaxed KSrSc2 crystal, with properties calculated at the PBE level.

abc: 3.7644 5.9381 6.3356
angles: 90.00 90.00 90.00
Last column: magnetic moment on the atom in μB.
Element x y z (fractional)
Sr 0.5000 0.0000 0.5000  0.01
Sc 0.5000 0.5000 0.0000  0.18
Sc 0.0000 0.0000 0.0000  0.12
K 0.0000 0.5000 0.5000  0.00

Calculated volume ... 141.62 Å³/cell

---

(Q)
Below is a relaxed KSrSc2 crystal, with properties calculated at the PBE level.

abc: 9.3865 9.3865 7.4102
angles: 50.70 50.70 90.00
Last column: magnetic moment on the atom in μB.
Element x y z (fractional)
Sc 0.6150 0.1250 0.2500  0.26
Sc 0.3750 0.3850 0.7500  0.26
Sc 0.8750 0.8650 0.7500  0.26
Sc 0.1350 0.6250 0.2500  0.26
Sr 0.7500 0.2500 0.5000  0.02
Sr 0.0000 0.0000 0.0000  0.02
K 0.2500 0.7500 0.5000  0.01
K 0.5000 0.5000 0.0000  0.01

Calculated volume ... 290.32 Å³/cell

---

Which structure is the least stable? The one labeled (Q).